Material: Mn2O3F
Method: DFT, GGA+U
State: relaxed

For the energy above the lowest structure with this stoichiometry, the calculation gives 3 meV per atom.

Lattice parameters (Å, degrees): 3.0158 6.3098 6.7685 90.00 90.00 90.00
Space group Amm2 (No. 38)
Inequivalent atoms, fractional coordinates:
Mn (0.0000, 0.0000, 0.0000) (multiplicity 2)
Mn (0.5000, 0.0000, 0.4703) (multiplicity 2)
O (0.0000, 0.0000, 0.2930) (multiplicity 2)
O (0.5000, 0.1954, 0.9897) (multiplicity 4)
F (0.0000, 0.0000, 0.6790) (multiplicity 2)

Material: Mn6O7F5
Method: DFT, GGA+U
State: relaxed

For the energy above the lowest structure with this stoichiometry, the calculation gives 31 meV per atom.

Lattice parameters (Å, degrees): 4.5993 5.5923 7.7968 92.26 90.01 90.99
Space group P1 (No. 1)
Inequivalent atoms, fractional coordinates:
Mn (0.0000, 0.0000, 0.0000) (multiplicity 1)
Mn (0.0090, 0.3204, 0.3627) (multiplicity 1)
Mn (0.4357, 0.8262, 0.3329) (multiplicity 1)
Mn (0.4688, 0.4671, 0.0250) (multiplicity 1)
Mn (0.4849, 0.1502, 0.6818) (multiplicity 1)
Mn (0.9786, 0.6500, 0.6699) (multiplicity 1)
O (0.1631, 0.9355, 0.7704) (multiplicity 1)
O (0.1795, 0.2771, 0.1358) (multiplicity 1)
O (0.1877, 0.6097, 0.4430) (multiplicity 1)
O (0.2809, 0.7725, 0.1081) (multiplicity 1)
O (0.2834, 0.1203, 0.4570) (multiplicity 1)
O (0.6641, 0.1799, 0.9146) (multiplicity 1)
O (0.7938, 0.3586, 0.5780) (multiplicity 1)
F (0.2635, 0.4504, 0.7860) (multiplicity 1)
F (0.6715, 0.8409, 0.5589) (multiplicity 1)
F (0.7053, 0.5195, 0.2545) (multiplicity 1)
F (0.7625, 0.6727, 0.9084) (multiplicity 1)
F (0.7760, 0.0234, 0.2510) (multiplicity 1)

Material: MnO3F
Method: DFT, GGA+U
State: relaxed

The value obtained for the total energy is -109.3 eV per cell.

Lattice parameters (Å, degrees): 9.6307 4.6332 8.8900 90.00 116.76 90.00
Space group Cc (No. 9)
Inequivalent atoms, fractional coordinates:
Mn (0.0000, 0.2396, 0.0000) (multiplicity 4)
O (0.1052, 0.4471, 0.9530) (multiplicity 4)
O (0.1062, 0.0503, 0.1589) (multiplicity 4)
O (0.4010, 0.4641, 0.3455) (multiplicity 4)
F (0.3759, 0.0546, 0.5479) (multiplicity 4)

Material: Mn2OF3
Method: DFT, GGA+U
State: relaxed

For the energy above the lowest structure with this stoichiometry, the calculation gives 32 meV per atom.

Lattice parameters (Å, degrees): 5.6571 4.7582 11.1124 90.00 97.32 90.00
Space group P2_1/c (No. 14)
Inequivalent atoms, fractional coordinates:
Mn (0.0000, 0.0000, 0.0000) (multiplicity 2)
Mn (0.2367, 0.0417, 0.7313) (multiplicity 4)
Mn (0.5000, 0.0000, 0.5000) (multiplicity 2)
O (0.2354, 0.2060, 0.5599) (multiplicity 4)
F (0.0430, 0.6804, 0.6747) (multiplicity 4)
F (0.2600, 0.6985, 0.4144) (multiplicity 4)
F (0.4712, 0.1836, 0.3312) (multiplicity 4)

Material: Mn6O7F5
Method: DFT, GGA+U
State: relaxed

For the energy above the lowest structure with this stoichiometry, the calculation gives 20 meV per atom.

Lattice parameters (Å, degrees): 4.7259 5.5911 7.7461 84.94 87.15 86.44
Space group P1 (No. 1)
Inequivalent atoms, fractional coordinates:
Mn (0.0000, 0.0000, 0.0000) (multiplicity 1)
Mn (0.0035, 0.6985, 0.3396) (multiplicity 1)
Mn (0.0253, 0.3552, 0.6650) (multiplicity 1)
Mn (0.4817, 0.8297, 0.6588) (multiplicity 1)
Mn (0.5221, 0.1750, 0.3371) (multiplicity 1)
Mn (0.5517, 0.5272, 0.9965) (multiplicity 1)
O (0.2084, 0.6377, 0.5567) (multiplicity 1)
O (0.3134, 0.1385, 0.5630) (multiplicity 1)
O (0.3262, 0.8060, 0.8962) (multiplicity 1)
O (0.6989, 0.8837, 0.4418) (multiplicity 1)
O (0.7090, 0.5501, 0.7594) (multiplicity 1)
O (0.7099, 0.2183, 0.1036) (multiplicity 1)
O (0.8361, 0.7248, 0.1158) (multiplicity 1)
F (0.1992, 0.2952, 0.9095) (multiplicity 1)
F (0.2176, 0.9843, 0.2365) (multiplicity 1)
F (0.3237, 0.4856, 0.2327) (multiplicity 1)
F (0.8138, 0.0568, 0.7553) (multiplicity 1)
F (0.8205, 0.3864, 0.4259) (multiplicity 1)

Material: Mn6O5F7
Method: DFT, GGA+U
State: relaxed

For the energy above the lowest structure with this stoichiometry, the calculation gives 22 meV per atom.

Lattice parameters (Å, degrees): 4.7261 5.6811 7.9334 86.98 88.28 88.41
Space group P1 (No. 1)
Inequivalent atoms, fractional coordinates:
Mn (0.0000, 0.0000, 0.0000) (multiplicity 1)
Mn (0.0019, 0.6786, 0.3305) (multiplicity 1)
Mn (0.0475, 0.3485, 0.6505) (multiplicity 1)
Mn (0.4556, 0.8457, 0.6665) (multiplicity 1)
Mn (0.5146, 0.1787, 0.3238) (multiplicity 1)
Mn (0.5384, 0.5255, 0.0038) (multiplicity 1)
O (0.1899, 0.6323, 0.5441) (multiplicity 1)
O (0.3150, 0.7970, 0.9051) (multiplicity 1)
O (0.3189, 0.1492, 0.5446) (multiplicity 1)
O (0.7125, 0.2251, 0.1021) (multiplicity 1)
O (0.8157, 0.7303, 0.1141) (multiplicity 1)
F (0.2211, 0.2972, 0.9030) (multiplicity 1)
F (0.2237, 0.9789, 0.2361) (multiplicity 1)
F (0.2927, 0.4770, 0.2256) (multiplicity 1)
F (0.7086, 0.8734, 0.4394) (multiplicity 1)
F (0.7260, 0.5406, 0.7567) (multiplicity 1)
F (0.7921, 0.3764, 0.4236) (multiplicity 1)
F (0.8365, 0.0606, 0.7511) (multiplicity 1)

Material: Mn2O3F
Method: DFT, GGA+U
State: relaxed

For the energy above the lowest structure with this stoichiometry, the calculation gives 17 meV per atom.

Lattice parameters (Å, degrees): 9.2056 6.0452 10.0502 90.00 114.97 90.00
Space group C2/m (No. 12)
Inequivalent atoms, fractional coordinates:
Mn (0.0000, 0.0000, 0.0000) (multiplicity 2)
Mn (0.0000, 0.5000, 0.0000) (multiplicity 2)
Mn (0.1246, 0.2450, 0.7490) (multiplicity 8)
Mn (0.2285, 0.5000, 0.4860) (multiplicity 4)
O (0.0109, 0.5000, 0.3469) (multiplicity 4)
O (0.0410, 0.2483, 0.8997) (multiplicity 8)
O (0.2080, 0.2495, 0.5996) (multiplicity 8)
O (0.2351, 0.5000, 0.1511) (multiplicity 4)
F (0.0418, 0.0000, 0.3660) (multiplicity 4)
F (0.2168, 0.0000, 0.1370) (multiplicity 4)

Material: MnOF3
Method: DFT, GGA+U
State: relaxed

The value obtained for the total energy is -24.4 eV per cell.

Lattice parameters (Å, degrees): 3.9705 3.9705 3.9705 90.00 90.00 90.00
Space group Pm-3m (No. 221)
Inequivalent atoms, fractional coordinates:
Mn (0.0000, 0.0000, 0.0000) (multiplicity 1)
O (0.5000, 0.5000, 0.5000) (multiplicity 1)
F (0.0000, 0.0000, 0.5000) (multiplicity 3)

What did the fifth record say?
Material: Mn6O7F5
Method: DFT, GGA+U
State: relaxed

For the energy above the lowest structure with this stoichiometry, the calculation gives 20 meV per atom.

Lattice parameters (Å, degrees): 4.7259 5.5911 7.7461 84.94 87.15 86.44
Space group P1 (No. 1)
Inequivalent atoms, fractional coordinates:
Mn (0.0000, 0.0000, 0.0000) (multiplicity 1)
Mn (0.0035, 0.6985, 0.3396) (multiplicity 1)
Mn (0.0253, 0.3552, 0.6650) (multiplicity 1)
Mn (0.4817, 0.8297, 0.6588) (multiplicity 1)
Mn (0.5221, 0.1750, 0.3371) (multiplicity 1)
Mn (0.5517, 0.5272, 0.9965) (multiplicity 1)
O (0.2084, 0.6377, 0.5567) (multiplicity 1)
O (0.3134, 0.1385, 0.5630) (multiplicity 1)
O (0.3262, 0.8060, 0.8962) (multiplicity 1)
O (0.6989, 0.8837, 0.4418) (multiplicity 1)
O (0.7090, 0.5501, 0.7594) (multiplicity 1)
O (0.7099, 0.2183, 0.1036) (multiplicity 1)
O (0.8361, 0.7248, 0.1158) (multiplicity 1)
F (0.1992, 0.2952, 0.9095) (multiplicity 1)
F (0.2176, 0.9843, 0.2365) (multiplicity 1)
F (0.3237, 0.4856, 0.2327) (multiplicity 1)
F (0.8138, 0.0568, 0.7553) (multiplicity 1)
F (0.8205, 0.3864, 0.4259) (multiplicity 1)

> What is the formula in the seventh record?

Mn2O3F